VASP calculation (PBE) on ZnCdGe2O6 after structural relaxation.

a b c (Å): 7.1725 7.1725 5.7065
angles (deg): 104.82 104.82 88.04
Sites, in units of the cell vectors:
Zn (0.2313, 0.7687, 0.7500)
Zn (0.7687, 0.2313, 0.2500)
Cd (0.1072, 0.8928, 0.2500)
Cd (0.8928, 0.1072, 0.7500)
Ge (0.2238, 0.3887, 0.2873)
Ge (0.3887, 0.2238, 0.7873)
Ge (0.6113, 0.7762, 0.2127)
Ge (0.7762, 0.6113, 0.7127)
O (0.0355, 0.2081, 0.1672)
O (0.1488, 0.6210, 0.4063)
O (0.2081, 0.0355, 0.6672)
O (0.3205, 0.4017, 0.0315)
O (0.3790, 0.8512, 0.0937)
O (0.4017, 0.3205, 0.5315)
O (0.5983, 0.6795, 0.4685)
O (0.6210, 0.1488, 0.9063)
O (0.6795, 0.5983, 0.9685)
O (0.7919, 0.9645, 0.3328)
O (0.8512, 0.3790, 0.5937)
O (0.9645, 0.7919, 0.8328)

V in Å³/cell: 274.2
Energy relative to the elements, uncorrected in eV per atom: -1.503
Space-group type: No. 15
E in eV per atom: -5.620
Density in g/cm3: 5.08

=====

VASP calculation (PBE) on ZrCdGeO5 after structural relaxation.

a b c (Å): 5.9056 5.9056 7.8336
angles (deg): 107.79 107.79 97.80
Sites, in units of the cell vectors:
Zr (0.0000, 0.0000, 0.0000)
Zr (0.0000, 0.0000, 0.5000)
Cd (0.3175, 0.6825, 0.7500)
Cd (0.6825, 0.3175, 0.2500)
Ge (0.3429, 0.6571, 0.2500)
Ge (0.6571, 0.3429, 0.7500)
O (0.0767, 0.9233, 0.7500)
O (0.1968, 0.7336, 0.4182)
O (0.2664, 0.8032, 0.0818)
O (0.2864, 0.3327, 0.1328)
O (0.3327, 0.2864, 0.6328)
O (0.6673, 0.7136, 0.3672)
O (0.7136, 0.6673, 0.8672)
O (0.7336, 0.1968, 0.9182)
O (0.8032, 0.2664, 0.5818)
O (0.9233, 0.0767, 0.2500)

V in Å³/cell: 239.7
Energy relative to the elements, uncorrected in eV per atom: -2.131
Space-group type: No. 15
E in eV per atom: -6.990
Density in g/cm3: 4.94

=====

VASP calculation (PBE) on Cd3GeOs after structural relaxation.

a b c (Å): 5.1703 5.1703 5.1703
angles (deg): 90.00 90.00 90.00
Sites, in units of the cell vectors:
Cd (0.0000, 0.0000, 0.5000)
Cd (0.0000, 0.5000, 0.0000)
Cd (0.5000, 0.0000, 0.0000)
Ge (0.5000, 0.5000, 0.5000)
Os (0.0000, 0.0000, 0.0000)

V in Å³/cell: 138.2
Energy of formation from the pure elements in eV per formula unit: 4.9
Energy above the most stable polymorph in this dataset in eV per atom: 0.000
Space-group type: No. 221
E in eV per atom: -2.729
Density in g/cm3: 7.21

=====

VASP calculation (PBE) on Cd3GeOs after structural relaxation.

a b c (Å): 5.0303 5.0303 5.0303
angles (deg): 90.00 90.00 90.00
Sites, in units of the cell vectors:
Cd (0.0000, 0.0000, 0.5000)
Cd (0.0000, 0.5000, 0.0000)
Cd (0.5000, 0.0000, 0.0000)
Ge (0.0000, 0.0000, 0.0000)
Os (0.5000, 0.5000, 0.5000)

V in Å³/cell: 127.3
Energy of formation from the pure elements in eV per formula unit: 7.0
Energy above the most stable polymorph in this dataset in eV per atom: 0.412
Space-group type: No. 221
E in eV per atom: -2.317
Density in g/cm3: 7.83

=====

VASP calculation (PBE) on Cd2GeOs after structural relaxation.

a b c (Å): 6.9270 6.9270 6.9270
angles (deg): 96.75 96.75 139.90
Sites, in units of the cell vectors:
Cd (0.0111, 0.6250, 0.8861)
Cd (0.3750, 0.2611, 0.3861)
Cd (0.7389, 0.1250, 0.1139)
Cd (0.8750, 0.9889, 0.6139)
Ge (0.2500, 0.7500, 0.5000)
Ge (0.5000, 0.5000, 0.0000)
Os (0.0000, 0.0000, 0.0000)
Os (0.7500, 0.2500, 0.5000)

V in Å³/cell: 201.1
Energy of formation from the pure elements in eV per formula unit: 2.4
Space-group type: No. 122
E in eV per atom: -3.831
Density in g/cm3: 8.05

=====

VASP calculation (PBE) on Cd2GePOs after structural relaxation.

a b c (Å): 5.2898 5.2898 4.3520
angles (deg): 90.00 90.00 90.00
Sites, in units of the cell vectors:
Cd (0.0000, 0.5000, 0.0000)
Cd (0.5000, 0.0000, 0.0000)
Ge (0.0000, 0.0000, 0.5000)
P (0.5000, 0.5000, 0.5000)
Os (0.5000, 0.5000, 0.0000)

V in Å³/cell: 121.8
Energy of formation from the pure elements in eV per formula unit: 2.7
Space-group type: No. 123
E in eV per atom: -4.073
Density in g/cm3: 7.07